Entry from the Alexandria database: an optimized crystal structure of KLaSn4O12 (PBE).

POSCAR file:
```
KLaSn4O12
1.0
-3.678 2.900 3.395
3.033 -1.587 4.663
4.639 6.734 -0.726
K La Sn O
1 1 4 12
direct
0.990 0.990 0.500
0.512 0.512 0.000
0.004 0.496 0.744
0.004 0.496 0.256
0.496 0.004 0.256
0.496 0.004 0.744
0.736 0.264 0.778
0.264 0.736 0.778
0.264 0.736 0.222
0.736 0.264 0.222
0.268 0.268 0.797
0.743 0.743 0.754
0.743 0.743 0.246
0.268 0.268 0.203
0.957 0.517 0.000
0.015 0.475 0.500
0.517 0.957 0.000
0.475 0.015 0.500
```

The uncorrected energy comes out at -106.9 eV per cell. Its uncorrected formation energy is -136 kJ per mole of atoms.